(1)
Material: NdHoSb
Method: DFT, GGA-PBE
State: relaxed

a b c (Å): 11.681 11.681 4.000
angles (deg): 90.00 90.00 160.14
Atoms (fractional coordinates):
Sb  0.135  0.865  0.750
Sb  0.865  0.135  0.250
Nd  0.705  0.295  0.250
Nd  0.295  0.705  0.750
Ho  0.564  0.436  0.250
Ho  0.436  0.564  0.750


(2)
Material: Nd2Ho2Sb5
Method: DFT, GGA-PBE
State: relaxed

a b c (Å): 8.268 8.974 8.974
angles (deg): 126.48 90.00 90.00
Atoms (fractional coordinates):
Sb  0.356  0.992  0.721
Sb  0.644  0.008  0.279
Sb  0.856  0.508  0.779
Sb  0.500  0.500  0.500
Sb  0.644  0.279  0.008
Sb  0.856  0.779  0.508
Sb  0.144  0.492  0.221
Sb  0.000  0.000  0.000
Sb  0.356  0.721  0.992
Sb  0.144  0.221  0.492
Nd  0.000  0.808  0.192
Nd  0.500  0.308  0.692
Nd  0.000  0.192  0.808
Nd  0.500  0.692  0.308
Ho  0.839  0.343  0.343
Ho  0.339  0.157  0.157
Ho  0.161  0.657  0.657
Ho  0.661  0.843  0.843


(3)
Material: NdHo3Sb2
Method: DFT, GGA-PBE
State: relaxed

a b c (Å): 4.341 10.567 9.703
angles (deg): 124.72 90.00 101.85
Atoms (fractional coordinates):
Sb  0.246  0.492  0.778
Sb  0.754  0.508  0.222
Sb  0.512  0.023  0.179
Sb  0.488  0.977  0.821
Ho  0.943  0.885  0.561
Ho  0.688  0.377  0.487
Ho  0.357  0.714  0.190
Ho  0.312  0.623  0.513
Ho  0.057  0.115  0.439
Ho  0.643  0.286  0.810
Nd  0.889  0.778  0.899
Nd  0.111  0.222  0.101


(4)
Material: Nd2HoSb
Method: DFT, GGA-PBE
State: relaxed

The relative energy among the computed polymorphs comes out at 12.0 meV per atom.

a b c (Å): 4.248 4.248 6.816
angles (deg): 90.00 90.00 90.00
Atoms (fractional coordinates):
Nd  0.000  0.000  0.232
Nd  0.000  0.000  0.768
Sb  0.500  0.500  0.000
Ho  0.500  0.500  0.500


(5)
Material: NdHo3Sb3
Method: DFT, GGA-PBE
State: relaxed

The relative energy among the computed polymorphs comes out at 100.2 meV per atom.

a b c (Å): 9.077 9.077 8.063
angles (deg): 55.74 55.74 60.00
Atoms (fractional coordinates):
Nd  0.334  0.334  0.997
Nd  0.666  0.666  0.003
Ho  0.183  0.651  0.253
Ho  0.349  0.087  0.747
Ho  0.087  0.817  0.747
Ho  0.817  0.349  0.747
Ho  0.651  0.913  0.253
Ho  0.913  0.183  0.253
Sb  0.536  0.295  0.248
Sb  0.464  0.705  0.752
Sb  0.295  0.921  0.248
Sb  0.921  0.536  0.248
Sb  0.079  0.464  0.752
Sb  0.705  0.079  0.752


(6)
Material: NdHoSb
Method: DFT, GGA-PBE
State: relaxed

a b c (Å): 4.055 4.055 5.988
angles (deg): 109.79 109.79 90.00
Site moments in Bohr magnetons follow the coordinates.
Atoms (fractional coordinates):
Nd  0.274  0.274  0.548  0.13
Sb  0.609  0.609  0.218  0.00
Ho  0.967  0.967  0.934  0.21


(7)
Material: Nd2HoScSb4
Method: DFT, GGA-PBE
State: relaxed

a b c (Å): 4.408 7.629 7.605
angles (deg): 109.55 90.00 90.00
Atoms (fractional coordinates):
Nd  0.000  0.500  0.500
Nd  0.500  0.000  0.500
Ho  0.500  0.500  0.000
Sb  0.000  0.751  0.235
Sb  0.000  0.249  0.765
Sb  0.500  0.238  0.231
Sb  0.500  0.762  0.769
Sc  0.000  0.000  0.000


(8)
Material: NdHo2ScSb4
Method: DFT, GGA-PBE
State: relaxed

a b c (Å): 6.184 6.184 7.549
angles (deg): 114.18 114.18 90.00
Atoms (fractional coordinates):
Nd  0.938  0.938  0.000
Ho  0.687  0.187  0.500
Ho  0.187  0.687  0.500
Sb  0.678  0.678  0.482
Sb  0.196  0.196  0.518
Sb  0.438  0.937  0.000
Sb  0.937  0.438  0.000
Sc  0.437  0.437  0.000


(9)
Material: NdHoSbSe
Method: DFT, GGA-PBE
State: relaxed

a b c (Å): 4.338 4.338 6.055
angles (deg): 90.00 90.00 90.00
Atoms (fractional coordinates):
Nd  0.500  0.391  0.093
Se  0.500  0.392  0.593
Sb  0.000  0.891  0.092
Ho  0.000  0.892  0.592


(10)
Material: Nd2SmHo3Sb6
Method: DFT, GGA-PBE
State: relaxed

a b c (Å): 4.440 8.871 9.919
angles (deg): 102.81 102.93 90.00
Atoms (fractional coordinates):
Sb  0.668  0.077  0.336
Sb  0.332  0.923  0.664
Sb  0.336  0.411  0.671
Sb  0.664  0.589  0.329
Sb  0.997  0.253  0.995
Sb  0.003  0.747  0.005
Sm  0.500  0.000  0.000
Nd  0.166  0.333  0.333
Nd  0.834  0.667  0.667
Ho  0.833  0.167  0.666
Ho  0.500  0.500  0.000
Ho  0.167  0.833  0.334


(11)
Material: NdSmHo2Sb4
Method: DFT, GGA-PBE
State: relaxed

a b c (Å): 4.437 7.674 7.681
angles (deg): 70.51 90.00 90.00
Atoms (fractional coordinates):
Nd  0.500  0.500  0.000
Sb  0.000  0.759  0.745
Sb  0.500  0.758  0.249
Sb  0.000  0.241  0.255
Sb  0.500  0.242  0.751
Ho  0.000  0.000  0.000
Ho  0.500  0.000  0.500
Sm  0.000  0.500  0.500


(12)
Material: NdSm2HoSb4
Method: DFT, GGA-PBE
State: relaxed

a b c (Å): 4.462 7.725 7.723
angles (deg): 70.52 90.00 90.00
Atoms (fractional coordinates):
Sm  0.500  0.000  0.500
Sm  0.000  0.000  0.000
Sb  0.000  0.250  0.255
Sb  0.500  0.253  0.744
Sb  0.500  0.747  0.256
Sb  0.000  0.750  0.745
Nd  0.500  0.500  0.000
Ho  0.000  0.500  0.500


Number 1: calculated density 7.72 g/cm³, ΔE_f (raw) -513 meV/atom, final energy -5.002 eV per atom. Number 2: calculated density 7.61 g/cm³, ΔE_f (raw) -873 meV/atom, final energy -5.240 eV per atom. Number 3: calculated density 8.27 g/cm³, ΔE_f (raw) -690 meV/atom, final energy -5.147 eV per atom. Number 4: calculated density 7.76 g/cm³, ΔE_f (raw) -504 meV/atom, final energy -5.063 eV per atom. Number 5: calculated density 7.63 g/cm³, ΔE_f (raw) -886 meV/atom, final energy -5.296 eV per atom. Number 6: calculated density 8.28 g/cm³, ΔE_f (raw) -635 meV/atom, final energy -5.124 eV per atom. Number 7: calculated density 6.79 g/cm³, ΔE_f (raw) -1090 meV/atom, final energy -5.707 eV per atom. Number 8: calculated density 7.10 g/cm³, ΔE_f (raw) -1062 meV/atom, final energy -5.655 eV per atom. Number 9: calculated density 7.43 g/cm³, ΔE_f (raw) -1419 meV/atom, final energy -5.658 eV per atom. Number 10: calculated density 7.45 g/cm³, ΔE_f (raw) -1146 meV/atom, final energy -5.540 eV per atom. Number 11: calculated density 7.49 g/cm³, ΔE_f (raw) -1145 meV/atom, final energy -5.537 eV per atom. Number 12: calculated density 7.26 g/cm³, ΔE_f (raw) -1159 meV/atom, final energy -5.568 eV per atom.